[1]
## NaCa2Sm (PBE)

Data for crystalline NaCa2Sm at its relaxed geometry.

Summary:
formation energy from the elements: 0.09 eV/atom
electronic total energy: -2.425 eV/atom
space-group type: R-3m, No. 166
offset from the most stable computed form: 0.0 meV per atom

abc: 12.625 12.625 12.625
angles: 17.16 17.16 17.16
Fractional positions:
Na 0.000 0.000 0.000
Ca 0.248 0.248 0.248
Ca 0.752 0.752 0.752
Sm 0.500 0.500 0.500

[2]
## As2PtW (PBE)

Data for crystalline As2PtW at its relaxed geometry.

Summary:
formation energy from the elements: 0.40 eV/atom
electronic total energy: -6.669 eV/atom
space-group type: Pmmm, No. 47
offset from the most stable computed form: 363.3 meV per atom

abc: 3.081 4.244 5.133
angles: 90.00 90.00 90.00
Fractional positions:
As 0.000 0.000 0.000
As 0.500 0.000 0.500
Pt 0.000 0.500 0.500
W 0.500 0.500 0.000

Which formula does entry 2 have? As2PtW